1.
VASP calculation (PBE) on a relaxed structure of LiAcMo.

Unit cell a=4.8895 b=4.8895 c=4.8895 alpha=60.00 beta=60.00 gamma=60.00
Sites, in units of the cell vectors:
1 Li 0.2500 0.2500 0.2500
2 Ac 0.0000 0.0000 0.0000
3 Mo 0.7500 0.7500 0.7500

Summary:
The symmetry is F-43m, No. 216. The total moment is 2.1 μB/f.u. The calculation puts the total DFT energy (no corrections) at -12.73 eV for the cell shown.

2.
VASP calculation (PBE) on a relaxed structure of Li2Ac2Ni15.

Unit cell a=6.3801 b=6.3801 c=6.3801 alpha=83.72 beta=83.72 gamma=83.72
Site moments in Bohr magnetons follow the coordinates.
Sites, in units of the cell vectors:
1 Ni 0.2919 0.0000 0.7081  0.35
2 Ni 0.7081 0.2919 0.0000  0.36
3 Ni 0.2919 0.7081 0.0000  0.36
4 Ni 0.6606 0.6606 0.1542  0.32
5 Ni 0.5000 0.0000 0.0000  0.35
6 Ni 0.3394 0.3394 0.8458  0.32
7 Ni 0.3394 0.8458 0.3394  0.30
8 Ni 0.0000 0.0000 0.5000  0.36
9 Ni 0.1542 0.6606 0.6606  0.32
10 Ni 0.0000 0.7081 0.2919  0.33
11 Ni 0.0000 0.2919 0.7081  0.33
12 Ni 0.6606 0.1542 0.6606  0.30
13 Ni 0.8458 0.3394 0.3394  0.32
14 Ni 0.0000 0.5000 0.0000  0.35
15 Ni 0.7081 0.0000 0.2919  0.35
16 Li 0.9081 0.9081 0.9081  -0.01
17 Li 0.0919 0.0919 0.0919  -0.01
18 Ac 0.6583 0.6583 0.6583  -0.05
19 Ac 0.3417 0.3417 0.3417  -0.05

Summary:
The symmetry is R-3m, No. 166. The total moment is 4.6 μB/f.u. The calculation puts the total DFT energy (no corrections) at -98.69 eV for the cell shown.

3.
VASP calculation (PBE) on a relaxed structure of LiAcNp.

Unit cell a=5.0749 b=5.0749 c=5.0749 alpha=60.00 beta=60.00 gamma=60.00
Site moments in Bohr magnetons follow the coordinates.
Sites, in units of the cell vectors:
1 Ac 0.2500 0.2500 0.2500  0.26
2 Li 0.0000 0.0000 0.0000  0.05
3 Np 0.7500 0.7500 0.7500  4.40

Summary:
The symmetry is F-43m, No. 216. The total moment is 5.6 μB/f.u. The value obtained for the distance to the lowest polymorph of the same formula is 0.00 eV per formula unit.